Entry 1:
The following is a DFT calculation (GGA+U) of a relaxed structure of Na5Ni9O18.

Cell: 5.8146 7.5223 8.6561 Å, 100.45 105.54 95.27°
Fractional coordinates of all 32 atoms:
Na1 0.0000 0.0000 0.0000
Na2 0.0052 0.3413 0.8717
Na3 0.0069 0.7097 0.4873
Na4 0.9931 0.2903 0.5127
Na5 0.9948 0.6587 0.1283
Ni1 0.4926 0.5012 0.1661
Ni2 0.4944 0.8341 0.3919
Ni3 0.4968 0.1669 0.2739
Ni4 0.4976 0.8327 0.0591
Ni5 0.5000 0.5000 0.5000
Ni6 0.5024 0.1673 0.9409
Ni7 0.5032 0.8331 0.7261
Ni8 0.5056 0.1659 0.6081
Ni9 0.5074 0.4988 0.8339
O1 0.3050 0.6008 0.3351
O2 0.3113 0.5981 0.9952
O3 0.3138 0.2601 0.0729
O4 0.3170 0.9151 0.2044
O5 0.3196 0.9346 0.5291
O6 0.3223 0.9292 0.8846
O7 0.3255 0.5777 0.6486
O8 0.3285 0.2623 0.4362
O9 0.3287 0.2557 0.7556
O10 0.6713 0.7443 0.2444
O11 0.6715 0.7377 0.5638
O12 0.6745 0.4223 0.3514
O13 0.6777 0.0708 0.1154
O14 0.6804 0.0654 0.4709
O15 0.6830 0.0849 0.7956
O16 0.6862 0.7399 0.9271
O17 0.6887 0.4019 0.0048
O18 0.6950 0.3992 0.6649

Computed properties:
Calculated total energy = -0.34078 Ry/atom
Total moment = 5.0 μB/f.u.

Entry 2:
The following is a DFT calculation (GGA+U) of a relaxed structure of Na3NiO2.

Cell: 10.8436 6.2799 5.5026 Å, 90.00 90.00 90.00°
Fractional coordinates of all 24 atoms:
Na1 0.0815 0.2500 0.2144
Na2 0.1438 0.5026 0.6247
Na3 0.1438 0.9974 0.6247
Na4 0.3562 0.0026 0.1247
Na5 0.3562 0.4974 0.1247
Na6 0.4185 0.7500 0.7144
Na7 0.5815 0.2500 0.2856
Na8 0.6438 0.5026 0.8753
Na9 0.6438 0.9974 0.8753
Na10 0.8562 0.0026 0.3753
Na11 0.8562 0.4974 0.3753
Na12 0.9185 0.7500 0.7856
Ni1 0.1180 0.7500 0.1392
Ni2 0.3820 0.2500 0.6392
Ni3 0.6180 0.7500 0.3608
Ni4 0.8820 0.2500 0.8608
O1 0.0164 0.7500 0.3938
O2 0.2284 0.7500 0.8957
O3 0.2716 0.2500 0.3957
O4 0.4836 0.2500 0.8938
O5 0.5164 0.7500 0.1062
O6 0.7284 0.7500 0.6043
O7 0.7716 0.2500 0.1043
O8 0.9836 0.2500 0.6062

Computed properties:
Calculated total energy = -0.27844 Ry/atom
Total moment = 1.0 μB/f.u.

Entry 3:
The following is a DFT calculation (GGA+U) of a relaxed structure of Na3Ni3OsO8.

Cell: 6.4707 6.4707 6.4707 Å, 56.64 56.64 56.64°
Fractional coordinates of all 15 atoms:
Na1 0.0000 0.5000 0.5000
Na2 0.5000 0.0000 0.5000
Na3 0.5000 0.5000 0.0000
Ni1 0.0000 0.0000 0.5000
Ni2 0.0000 0.5000 0.0000
Ni3 0.5000 0.0000 0.0000
Os1 0.5000 0.5000 0.5000
O1 0.2280 0.2280 0.2280
O2 0.2644 0.7163 0.7163
O3 0.2837 0.2837 0.7356
O4 0.2837 0.7356 0.2837
O5 0.7163 0.2644 0.7163
O6 0.7163 0.7163 0.2644
O7 0.7356 0.2837 0.2837
O8 0.7720 0.7720 0.7720

Computed properties:
Calculated total energy = -0.39591 Ry/atom
Total moment = 5.0 μB/f.u.

Entry 4:
The following is a DFT calculation (GGA+U) of a relaxed structure of Na2NiOsO6.

Cell: 6.4021 6.4021 5.1965 Å, 90.00 90.00 120.00°
Fractional coordinates of all 10 atoms:
Na1 0.3333 0.6667 0.2434
Na2 0.6667 0.3333 0.7566
Ni1 0.0000 0.0000 0.0000
Os1 0.0000 0.0000 0.5000
O1 0.1344 0.2687 0.2801
O2 0.1344 0.8656 0.2801
O3 0.2687 0.1344 0.7199
O4 0.7313 0.8656 0.2801
O5 0.8656 0.1344 0.7199
O6 0.8656 0.7313 0.7199

Computed properties:
Calculated total energy = -0.41669 Ry/atom
Total moment = 2.0 μB/f.u.

Entry 5:
The following is a DFT calculation (GGA+U) of a relaxed structure of Na4Ni3OsO8.

Cell: 6.4025 6.4025 6.4025 Å, 57.53 57.53 57.53°
Fractional coordinates of all 16 atoms:
Na1 0.0000 0.0000 0.0000
Na2 0.0000 0.5000 0.5000
Na3 0.5000 0.0000 0.5000
Na4 0.5000 0.5000 0.0000
Ni1 0.0000 0.0000 0.5000
Ni2 0.0000 0.5000 0.0000
Ni3 0.5000 0.0000 0.0000
Os1 0.5000 0.5000 0.5000
O1 0.2301 0.2301 0.2301
O2 0.2587 0.7234 0.7234
O3 0.2766 0.2766 0.7413
O4 0.2766 0.7413 0.2766
O5 0.7234 0.2587 0.7234
O6 0.7234 0.7234 0.2587
O7 0.7413 0.2766 0.2766
O8 0.7699 0.7699 0.7699

Computed properties:
Calculated total energy = -0.38648 Ry/atom
Total moment = 8.0 μB/f.u.

Entry 6:
The following is a DFT calculation (GGA+U) of a relaxed structure of NaNiPO2.

Cell: 3.9939 3.9939 5.1731 Å, 90.00 90.00 90.00°
Fractional coordinates of all 5 atoms:
Na1 0.0000 0.0000 0.0000
Ni1 0.5000 0.5000 0.5000
P1 0.0000 0.0000 0.5000
O1 0.0000 0.5000 0.0000
O2 0.5000 0.0000 0.0000

Computed properties:
Calculated total energy = -0.20545 Ry/atom
Total moment = 3.8 μB/f.u.

Entry 7:
The following is a DFT calculation (GGA+U) of a relaxed structure of NaNiP2O.

Cell: 4.7918 4.7918 3.8401 Å, 90.00 90.00 90.00°
Fractional coordinates of all 5 atoms:
Na1 0.0000 0.0000 0.0000
Ni1 0.5000 0.5000 0.5000
P1 0.0000 0.5000 0.0000
P2 0.5000 0.0000 0.0000
O1 0.0000 0.0000 0.5000

Computed properties:
Calculated total energy = -0.16821 Ry/atom
Total moment = 0.0 μB/f.u.

Entry 8:
The following is a DFT calculation (GGA+U) of a relaxed structure of Na2NiPO4.

Cell: 5.6259 5.6259 6.1271 Å, 90.00 90.00 90.00°
Fractional coordinates of all 16 atoms:
Na1 0.0000 0.0000 0.0000
Na2 0.0000 0.5000 0.2500
Na3 0.5000 0.0000 0.7500
Na4 0.5000 0.5000 0.5000
Ni1 0.0000 0.0000 0.5000
Ni2 0.5000 0.5000 0.0000
P1 0.0000 0.5000 0.7500
P2 0.5000 0.0000 0.2500
O1 0.1445 0.3259 0.6016
O2 0.1741 0.6445 0.8984
O3 0.3259 0.8555 0.3984
O4 0.3555 0.1741 0.1016
O5 0.6445 0.8259 0.1016
O6 0.6741 0.1445 0.3984
O7 0.8259 0.3555 0.8984
O8 0.8555 0.6741 0.6016

Computed properties:
Calculated total energy = -0.41257 Ry/atom
Total moment = 1.0 μB/f.u.

Entry 9:
The following is a DFT calculation (GGA+U) of a relaxed structure of Na2NiPO.

Cell: 5.5186 5.5186 3.3893 Å, 90.00 90.00 90.00°
Fractional coordinates of all 5 atoms:
Na1 0.0000 0.5000 0.0000
Na2 0.5000 0.0000 0.0000
Ni1 0.0000 0.0000 0.0000
P1 0.5000 0.5000 0.5000
O1 0.0000 0.0000 0.5000

Computed properties:
Calculated total energy = -0.23161 Ry/atom
Total moment = 2.1 μB/f.u.

Entry 10:
The following is a DFT calculation (GGA+U) of a relaxed structure of NaNiPO2.

Cell: 3.9777 3.9777 4.2559 Å, 90.00 90.00 90.00°
Fractional coordinates of all 5 atoms:
Na1 0.0000 0.0000 0.0000
Ni1 0.5000 0.5000 0.5000
P1 0.5000 0.5000 0.0000
O1 0.0000 0.5000 0.5000
O2 0.5000 0.0000 0.5000

Computed properties:
Calculated total energy = -0.27624 Ry/atom
Total moment = 0.4 μB/f.u.

Entry 11:
The following is a DFT calculation (GGA+U) of a relaxed structure of NaNi2P3O10.

Cell: 4.7092 8.5336 9.0433 Å, 90.00 98.00 90.00°
Fractional coordinates of all 32 atoms:
Na1 0.0000 0.0000 0.0000
Na2 0.0000 0.5000 0.0000
Ni1 0.0451 0.0712 0.3424
Ni2 0.0451 0.4288 0.3424
Ni3 0.9549 0.5712 0.6576
Ni4 0.9549 0.9288 0.6576
P1 0.3340 0.2500 0.8144
P2 0.3925 0.7500 0.4621
P3 0.4796 0.2500 0.1535
P4 0.5204 0.7500 0.8465
P5 0.6075 0.2500 0.5379
P6 0.6660 0.7500 0.1856
O1 0.1659 0.0997 0.7963
O2 0.1659 0.4003 0.7963
O3 0.2062 0.7500 0.7692
O4 0.2280 0.5990 0.4885
O5 0.2280 0.9010 0.4885
O6 0.2993 0.2500 0.4554
O7 0.3188 0.0998 0.1782
O8 0.3188 0.4002 0.1782
O9 0.4126 0.7500 0.2852
O10 0.4664 0.7500 0.0245
O11 0.5336 0.2500 0.9755
O12 0.5874 0.2500 0.7148
O13 0.6812 0.5998 0.8218
O14 0.6812 0.9002 0.8218
O15 0.7007 0.7500 0.5446
O16 0.7720 0.0990 0.5115
O17 0.7720 0.4010 0.5115
O18 0.7938 0.2500 0.2308
O19 0.8341 0.5997 0.2037
O20 0.8341 0.9003 0.2037

Computed properties:
Calculated total energy = -0.47673 Ry/atom
Total moment = 4.0 μB/f.u.

Entry 12:
The following is a DFT calculation (GGA+U) of a relaxed structure of NaNiP2O.

Cell: 4.6288 4.6288 3.7046 Å, 90.00 90.00 90.00°
Fractional coordinates of all 5 atoms:
Na1 0.0000 0.0000 0.0000
Ni1 0.5000 0.5000 0.5000
P1 0.0000 0.5000 0.5000
P2 0.5000 0.0000 0.5000
O1 0.5000 0.5000 0.0000

Computed properties:
Calculated total energy = -0.26179 Ry/atom
Total moment = 0.9 μB/f.u.